Cd2CBr: relaxed, PBE.

The structure belongs to space group Fm-3m (No. 225); the cell edges are 6.958, 6.958 and 6.958 Å and the angles 90.00°, 90.00° and 90.00°. Symmetry generates all atoms from Cd at (0.250, 0.250, 0.250), C at (0.000, 0.000, 0.000) and Br at (0.000, 0.000, 0.500).

As for the energy above the most stable polymorph in this dataset: 3.284 eV per formula unit. For the raw formation energy, the calculation gives 1.3974 eV/atom. Its total magnetization is 1.22 μB per formula unit.

CdCBr3: relaxed, PBE.

The structure belongs to space group Pm-3m (No. 221); the cell edges are 5.477, 5.477 and 5.477 Å and the angles 90.00°, 90.00° and 90.00°. Symmetry generates all atoms from Cd at (0.000, 0.000, 0.000), C at (0.500, 0.500, 0.500) and Br at (0.000, 0.000, 0.500).

As for the energy above the most stable polymorph in this dataset: 1.916 eV per formula unit. For the raw formation energy, the calculation gives 1.2052 eV/atom. Its total magnetization is 0.96 μB per formula unit.

Cd2CBr: relaxed, PBE.

The structure belongs to space group I-42d (No. 122); the cell edges are 6.091, 6.091 and 10.766 Å and the angles 90.00°, 90.00° and 90.00°. Symmetry generates all atoms from Cd at (0.139, 0.250, 0.125), C at (0.000, 0.000, 0.000) and Br at (0.000, 0.000, 0.500).

As for the energy above the most stable polymorph in this dataset: 0.000 eV per formula unit. For the raw formation energy, the calculation gives 0.5764 eV/atom. Its total magnetization is 1.00 μB per formula unit.

CdCBr2: relaxed, PBE.

The structure belongs to space group Fm-3m (No. 225); the cell edges are 7.047, 7.047 and 7.047 Å and the angles 90.00°, 90.00° and 90.00°. Symmetry generates all atoms from Cd at (0.000, 0.000, 0.000), C at (0.000, 0.000, 0.500) and Br at (0.250, 0.250, 0.250).

As for the energy above the most stable polymorph in this dataset: 1.652 eV per formula unit. For the raw formation energy, the calculation gives 1.4288 eV/atom. Its total magnetization is 1.83 μB per formula unit.

CdCBr2: relaxed, PBE.

The structure belongs to space group I-42d (No. 122); the cell edges are 7.028, 7.028 and 9.946 Å and the angles 90.00°, 90.00° and 90.00°. Symmetry generates all atoms from Cd at (0.000, 0.000, 0.000), C at (0.000, 0.000, 0.500) and Br at (0.001, 0.250, 0.625).

As for the energy above the most stable polymorph in this dataset: 0.000 eV per formula unit. For the raw formation energy, the calculation gives 1.0157 eV/atom. Its total magnetization is 0.00 μB per formula unit.

CdCBr3: relaxed, PBE.

The structure belongs to space group Pm-3m (No. 221); the cell edges are 4.817, 4.817 and 4.817 Å and the angles 90.00°, 90.00° and 90.00°. Symmetry generates all atoms from Cd at (0.000, 0.000, 0.000), C at (0.500, 0.500, 0.500) and Br at (0.000, 0.500, 0.500).

As for the energy above the most stable polymorph in this dataset: 0.000 eV per formula unit. For the raw formation energy, the calculation gives 0.8220 eV/atom. Its total magnetization is 0.00 μB per formula unit.

Cd2CoCBr: relaxed, PBE.

The structure belongs to space group P4/mmm (No. 123); the cell edges are 4.381, 4.381 and 5.421 Å and the angles 90.00°, 90.00° and 90.00°. Symmetry generates all atoms from Cd at (0.000, 0.500, 0.000), Co at (0.000, 0.000, 0.500), C at (0.500, 0.500, 0.000) and Br at (0.500, 0.500, 0.500).

For the raw formation energy, the calculation gives 1.2433 eV/atom. Its total magnetization is 2.00 μB per formula unit.

Cs2CdCBr6: relaxed, PBE.

The structure belongs to space group Fm-3m (No. 225); the cell edges are 10.745, 10.745 and 10.745 Å and the angles 90.00°, 90.00° and 90.00°. Symmetry generates all atoms from Cs at (0.250, 0.250, 0.250), Cd at (0.000, 0.000, 0.000), C at (0.000, 0.000, 0.500) and Br at (0.000, 0.000, 0.263).

For the raw formation energy, the calculation gives -0.4916 eV/atom. Its total magnetization is 0.00 μB per formula unit.

Q: Which of these has the lowest raw formation energy?
A: Cs2CdCBr6